Here is a relaxed Tb5Bi5Sb crystal from Alexandria via LeMat-Bulk. Energies are from PBE.

abc: 14.125 6.237 8.858
angles: 90.00 108.85 90.00
Space group C2/m (No. 12)
Unique sites:
Tb: 0.000 0.000 0.000 [2 per cell]
Tb: 0.166 0.500 0.329 [4 per cell]
Tb: 0.169 0.500 0.840 [4 per cell]
Bi: 0.000 0.500 0.500 [2 per cell]
Bi: 0.155 0.000 0.811 [4 per cell]
Bi: 0.161 0.000 0.341 [4 per cell]
Sb: 0.000 0.500 0.000 [2 per cell]

Summary:
Its raw formation energy is -7.49 eV/f.u. As for the volume: 33.6 A^3/atom. For the density of states at the Fermi level, the calculation gives 0.537 states/eV per atom.